A plane-wave DFT calculation with GGA-PBE was carried out for a relaxed K2InTc crystal.

Calculated values
total magnetic moment	0.64	μB/atom
total DFT energy (no corrections)	-3.015	eV/atom
energy of formation from the pure elements	312.5	kJ/mol of formula units

```
K2InTc
1.0
-2.333 2.991 5.222
2.333 -2.991 5.222
2.333 2.991 -5.222
K In Tc
2 1 1
direct
0.000 0.000 0.000 K
0.700 0.200 0.500 K
0.415 0.415 0.000 In
0.293 0.793 0.500 Tc
```